[1]
Entry from Alexandria via LeMat-Bulk: a geometry-optimized NpTl2Sb2Au structure (PBE).

abc: 4.7931 11.3072 6.2319
angles: 90.00 90.00 90.00
Fractional positions:
Np: 0.0000 0.0013 0.0000
Np: 0.0000 0.9987 0.5000
Tl: 0.0000 0.3445 0.7642
Tl: 0.0000 0.6555 0.2642
Tl: 0.5000 0.4361 0.3895
Tl: 0.5000 0.5639 0.8895
Sb: 0.0000 0.2601 0.2425
Sb: 0.0000 0.7399 0.7425
Sb: 0.5000 0.1369 0.7475
Sb: 0.5000 0.8631 0.2475
Au: 0.5000 0.1288 0.2583
Au: 0.5000 0.8712 0.7583

Values from the calculation:
Total DFT energy (no corrections) in eV/atom: -4.97
Symmetry: No. 26
D(E_F) in states/eV per atom: 1.52



[2]
Entry from Alexandria via LeMat-Bulk: a geometry-optimized NpZnSbAu structure (PBE).

abc: 5.0183 5.0183 5.0183
angles: 60.00 60.00 60.00
Fractional positions:
Np: 0.0000 0.0000 0.0000
Zn: 0.5000 0.5000 0.5000
Sb: 0.2500 0.2500 0.2500
Au: 0.7500 0.7500 0.7500

Values from the calculation:
Total DFT energy (no corrections) in eV/atom: -5.45
Symmetry: No. 216
D(E_F) in states/eV per atom: 2.90



[3]
Entry from Alexandria via LeMat-Bulk: a geometry-optimized NpAuSe structure (PBE).

abc: 4.6750 4.6750 6.9610
angles: 90.00 90.00 90.00
Fractional positions:
Np: 0.2500 0.2500 0.2344
Np: 0.7500 0.7500 0.7656
Au: 0.2500 0.2500 0.6505
Au: 0.7500 0.7500 0.3495
Se: 0.2500 0.7500 0.0000
Se: 0.7500 0.2500 0.0000

Values from the calculation:
Total DFT energy (no corrections) in eV/atom: -6.97
Symmetry: No. 129
D(E_F) in states/eV per atom: 3.41



[4]
Entry from Alexandria via LeMat-Bulk: a geometry-optimized Np3Au5Se12 structure (PBE).

abc: 13.8226 13.8226 13.8226
angles: 109.47 109.47 109.47
Fractional positions:
Np: 0.1250 0.2500 0.3750
Np: 0.1250 0.3750 0.7500
Np: 0.2500 0.3750 0.1250
Np: 0.2500 0.8750 0.6250
Np: 0.3750 0.1250 0.2500
Np: 0.3750 0.7500 0.1250
Np: 0.6250 0.2500 0.8750
Np: 0.6250 0.8750 0.7500
Np: 0.7500 0.1250 0.3750
Np: 0.7500 0.6250 0.8750
Np: 0.8750 0.6250 0.2500
Np: 0.8750 0.7500 0.6250
Au: 0.0000 0.0000 0.0000
Au: 0.0000 0.0000 0.5000
Au: 0.0000 0.5000 0.0000
Au: 0.0000 0.5000 0.5000
Au: 0.1250 0.7500 0.8750
Au: 0.1250 0.8750 0.2500
Au: 0.2500 0.1250 0.8750
Au: 0.2500 0.6250 0.3750
Au: 0.3750 0.2500 0.6250
Au: 0.3750 0.6250 0.7500
Au: 0.5000 0.0000 0.0000
Au: 0.5000 0.0000 0.5000
Au: 0.5000 0.5000 0.0000
Au: 0.5000 0.5000 0.5000
Au: 0.6250 0.3750 0.2500
Au: 0.6250 0.7500 0.3750
Au: 0.7500 0.3750 0.6250
Au: 0.7500 0.8750 0.1250
Au: 0.8750 0.1250 0.7500
Au: 0.8750 0.2500 0.1250
Se: 0.0495 0.2190 0.1335
Se: 0.0495 0.3304 0.9160
Se: 0.0840 0.6335 0.4144
Se: 0.0840 0.9505 0.6696
Se: 0.0856 0.7190 0.6696
Se: 0.0856 0.8665 0.4160
Se: 0.1335 0.0495 0.2190
Se: 0.1335 0.5840 0.9144
Se: 0.1696 0.2190 0.5856
Se: 0.1696 0.4505 0.5840
Se: 0.2190 0.1335 0.0495
Se: 0.2190 0.5856 0.1696
Se: 0.2810 0.3304 0.9144
Se: 0.2810 0.4505 0.3665
Se: 0.3304 0.9144 0.2810
Se: 0.3304 0.9160 0.0495
Se: 0.3665 0.2810 0.4505
Se: 0.3665 0.5856 0.9160
Se: 0.4144 0.0840 0.6335
Se: 0.4144 0.8304 0.7810
Se: 0.4160 0.0856 0.8665
Se: 0.4160 0.8304 0.5495
Se: 0.4505 0.3665 0.2810
Se: 0.4505 0.5840 0.1696
Se: 0.5495 0.4160 0.8304
Se: 0.5495 0.6335 0.7190
Se: 0.5840 0.1696 0.4505
Se: 0.5840 0.9144 0.1335
Se: 0.5856 0.1696 0.2190
Se: 0.5856 0.9160 0.3665
Se: 0.6335 0.4144 0.0840
Se: 0.6335 0.7190 0.5495
Se: 0.6696 0.0840 0.9505
Se: 0.6696 0.0856 0.7190
Se: 0.7190 0.5495 0.6335
Se: 0.7190 0.6696 0.0856
Se: 0.7810 0.4144 0.8304
Se: 0.7810 0.8665 0.9505
Se: 0.8304 0.5495 0.4160
Se: 0.8304 0.7810 0.4144
Se: 0.8665 0.4160 0.0856
Se: 0.8665 0.9505 0.7810
Se: 0.9144 0.1335 0.5840
Se: 0.9144 0.2810 0.3304
Se: 0.9160 0.0495 0.3304
Se: 0.9160 0.3665 0.5856
Se: 0.9505 0.6696 0.0840
Se: 0.9505 0.7810 0.8665

Values from the calculation:
Total DFT energy (no corrections) in eV/atom: -5.23
Symmetry: No. 230
D(E_F) in states/eV per atom: 1.66



[5]
Entry from Alexandria via LeMat-Bulk: a geometry-optimized NpAuSe structure (PBE).

abc: 5.3972 5.3972 5.3972
angles: 139.29 139.29 58.94
Fractional positions:
Np: 0.0000 0.0000 0.0000
Au: 0.3322 0.3322 0.0000
Se: 0.6577 0.6577 0.0000

Values from the calculation:
Total DFT energy (no corrections) in eV/atom: -7.09
Symmetry: No. 107
D(E_F) in states/eV per atom: 2.37



[6]
Entry from Alexandria via LeMat-Bulk: a geometry-optimized NpAuSe2 structure (PBE).

abc: 8.1797 8.1797 8.1797
angles: 30.79 30.79 30.79
Fractional positions:
Np: 0.0000 0.0000 0.0000
Au: 0.5000 0.5000 0.5000
Se: 0.3958 0.3958 0.3958
Se: 0.6042 0.6042 0.6042

Values from the calculation:
Total DFT energy (no corrections) in eV/atom: -6.44
Symmetry: No. 166
D(E_F) in states/eV per atom: 1.99



[7]
Entry from Alexandria via LeMat-Bulk: a geometry-optimized Np3AuSe6 structure (PBE).

abc: 8.7539 8.7539 6.7880
angles: 90.00 90.00 101.04
Fractional positions:
Np: 0.1040 0.8960 0.5000
Np: 0.2247 0.4227 0.6012
Np: 0.4227 0.2247 0.1012
Np: 0.5773 0.7753 0.6012
Np: 0.7753 0.5773 0.1012
Np: 0.8960 0.1040 0.0000
Au: 0.2841 0.7159 0.1577
Au: 0.7159 0.2841 0.6577
Se: 0.0366 0.5839 0.3533
Se: 0.1260 0.1982 0.2991
Se: 0.1982 0.1260 0.7991
Se: 0.2728 0.7272 0.7745
Se: 0.4161 0.9634 0.3533
Se: 0.4712 0.5288 0.3133
Se: 0.5288 0.4712 0.8133
Se: 0.5839 0.0366 0.8533
Se: 0.7272 0.2728 0.2745
Se: 0.8018 0.8740 0.2991
Se: 0.8740 0.8018 0.7991
Se: 0.9634 0.4161 0.8533

Values from the calculation:
Total DFT energy (no corrections) in eV/atom: -7.23
Symmetry: No. 36
D(E_F) in states/eV per atom: 3.05



[8]
Entry from Alexandria via LeMat-Bulk: a geometry-optimized NpTlAuSe3 structure (PBE).

abc: 9.0331 4.1512 9.6279
angles: 90.00 108.82 90.00
Fractional positions:
Np: 0.1778 0.2500 0.1643
Np: 0.8222 0.7500 0.8357
Tl: 0.3084 0.7500 0.7861
Tl: 0.6916 0.2500 0.2139
Au: 0.3897 0.7500 0.4514
Au: 0.6103 0.2500 0.5486
Se: 0.0451 0.2500 0.8524
Se: 0.2305 0.2500 0.4695
Se: 0.3836 0.7500 0.1474
Se: 0.6164 0.2500 0.8526
Se: 0.7695 0.7500 0.5305
Se: 0.9549 0.7500 0.1476

Values from the calculation:
Total DFT energy (no corrections) in eV/atom: -5.51
Symmetry: No. 11
D(E_F) in states/eV per atom: 1.76



[9]
Entry from Alexandria via LeMat-Bulk: a geometry-optimized NpTl2AuSe4 structure (PBE).

abc: 7.3449 4.0434 8.2983
angles: 90.00 111.39 90.00
Fractional positions:
Np: 0.0000 0.0000 0.0000
Tl: 0.0000 0.5000 0.5000
Tl: 0.5000 0.0000 0.5000
Au: 0.5000 0.5000 0.0000
Se: 0.2035 0.5000 0.2251
Se: 0.2815 0.0000 0.8255
Se: 0.7185 0.0000 0.1745
Se: 0.7965 0.5000 0.7749

Values from the calculation:
Total DFT energy (no corrections) in eV/atom: -4.89
Symmetry: No. 10
D(E_F) in states/eV per atom: 1.36



[10]
Entry from Alexandria via LeMat-Bulk: a geometry-optimized NpTl2Au2Se4 structure (PBE).

abc: 7.8541 7.8541 8.1012
angles: 109.36 109.36 30.93
Fractional positions:
Np: 0.0000 0.0000 0.0000
Tl: 0.1366 0.1366 0.5893
Tl: 0.8634 0.8634 0.4107
Au: 0.3226 0.3226 0.0192
Au: 0.6774 0.6774 0.9808
Se: 0.1949 0.1949 0.2064
Se: 0.4939 0.4939 0.2394
Se: 0.5061 0.5061 0.7606
Se: 0.8051 0.8051 0.7936

Values from the calculation:
Total DFT energy (no corrections) in eV/atom: -4.75
Symmetry: No. 12
D(E_F) in states/eV per atom: 1.21



[11]
Entry from Alexandria via LeMat-Bulk: a geometry-optimized NpSiAu structure (PBE).

abc: 4.5671 4.5671 4.5671
angles: 60.00 60.00 60.00
Fractional positions:
Np: 0.0000 0.0000 0.0000
Si: 0.2500 0.2500 0.2500
Au: 0.5000 0.5000 0.5000

Values from the calculation:
Total DFT energy (no corrections) in eV/atom: -7.15
Symmetry: No. 216
D(E_F) in states/eV per atom: 3.89